(1)
First-principles (GGA-PBE) data for a relaxed Ni2Pt2Pb crystal, as listed in Alexandria via LeMat-Bulk.

a b c (Å): 3.659 3.659 12.702
angles (deg): 90.00 90.00 90.00
Positions (direct):
Ni (0.000, 0.500, 0.250)
Ni (0.000, 0.500, 0.750)
Ni (0.500, 0.000, 0.250)
Ni (0.500, 0.000, 0.750)
Pt (0.000, 0.000, 0.111)
Pt (0.000, 0.000, 0.889)
Pt (0.500, 0.500, 0.389)
Pt (0.500, 0.500, 0.611)
Pb (0.000, 0.000, 0.500)
Pb (0.500, 0.500, 0.000)

Total magnetic moment: 1.4 μB per formula unit
Polymorph energy (0 for the lowest one): 53 meV/atom
Space-group type: No. 139

=====

(2)
First-principles (GGA-PBE) data for a relaxed NaZnCd3 crystal, as listed in Alexandria via LeMat-Bulk.

a b c (Å): 7.167 7.167 5.387
angles (deg): 90.00 90.00 120.00
Positions (direct):
Na (0.333, 0.667, 0.250)
Na (0.667, 0.333, 0.750)
Zn (0.000, 0.000, 0.000)
Zn (0.000, 0.000, 0.500)
Cd (0.195, 0.390, 0.750)
Cd (0.195, 0.805, 0.750)
Cd (0.390, 0.195, 0.250)
Cd (0.610, 0.805, 0.750)
Cd (0.805, 0.195, 0.250)
Cd (0.805, 0.610, 0.250)

Total magnetic moment: 0.0 μB per formula unit
Polymorph energy (0 for the lowest one): 44 meV/atom
Space-group type: No. 194

=====

(3)
First-principles (GGA-PBE) data for a relaxed PmZn2CoH8 crystal, as listed in Alexandria via LeMat-Bulk.

a b c (Å): 4.186 4.563 5.785
angles (deg): 71.78 82.50 85.59
Positions (direct):
Pm (0.000, 0.000, 0.000)
Zn (0.481, 0.674, 0.680)
Zn (0.519, 0.326, 0.320)
Co (0.000, 0.500, 0.500)
H (0.079, 0.559, 0.758)
H (0.195, 0.168, 0.565)
H (0.283, 0.696, 0.331)
H (0.475, 0.193, 0.082)
H (0.525, 0.807, 0.918)
H (0.717, 0.304, 0.669)
H (0.805, 0.832, 0.435)
H (0.921, 0.441, 0.242)

Total magnetic moment: 0.0 μB per formula unit
Raw total energy: -42.72 eV/f.u.
Space-group type: No. 2

=====

(4)
First-principles (GGA-PBE) data for a relaxed Sr4As crystal, as listed in Alexandria via LeMat-Bulk.

a b c (Å): 7.533 7.533 7.533
angles (deg): 90.00 90.00 90.00
Positions (direct):
Sr (0.250, 0.250, 0.250)
Sr (0.250, 0.250, 0.750)
Sr (0.250, 0.750, 0.250)
Sr (0.250, 0.750, 0.750)
Sr (0.750, 0.250, 0.250)
Sr (0.750, 0.250, 0.750)
Sr (0.750, 0.750, 0.250)
Sr (0.750, 0.750, 0.750)
As (0.000, 0.000, 0.000)
As (0.500, 0.500, 0.500)

Total magnetic moment: 0.0 μB per formula unit
Polymorph energy (0 for the lowest one): 147 meV/atom
Space-group type: No. 229

=====

(5)
First-principles (GGA-PBE) data for a relaxed LaDyTe3 crystal, as listed in Alexandria via LeMat-Bulk.

a b c (Å): 8.342 4.490 17.421
angles (deg): 90.00 90.00 90.00
Positions (direct):
La (0.136, 0.250, 0.200)
La (0.364, 0.750, 0.700)
La (0.636, 0.250, 0.300)
La (0.864, 0.750, 0.800)
Dy (0.229, 0.750, 0.458)
Dy (0.271, 0.250, 0.958)
Dy (0.729, 0.750, 0.042)
Dy (0.771, 0.250, 0.542)
Te (0.006, 0.250, 0.395)
Te (0.121, 0.750, 0.062)
Te (0.156, 0.250, 0.785)
Te (0.344, 0.750, 0.285)
Te (0.379, 0.250, 0.562)
Te (0.494, 0.750, 0.895)
Te (0.506, 0.250, 0.105)
Te (0.621, 0.750, 0.438)
Te (0.656, 0.250, 0.715)
Te (0.844, 0.750, 0.215)
Te (0.879, 0.250, 0.938)
Te (0.994, 0.750, 0.605)

Total magnetic moment: 0.0 μB per formula unit
Formation energy (no corrections): -1.499 eV/atom
Polymorph energy (0 for the lowest one): 0 meV/atom
Space-group type: No. 62

=====

(6)
First-principles (GGA-PBE) data for a relaxed Cu3SbO6 crystal, as listed in Alexandria via LeMat-Bulk.

a b c (Å): 6.052 6.052 6.052
angles (deg): 95.05 95.05 95.05
Positions (direct):
Cu (0.085, 0.544, 0.766)
Cu (0.234, 0.915, 0.456)
Cu (0.456, 0.234, 0.915)
Cu (0.544, 0.766, 0.085)
Cu (0.766, 0.085, 0.544)
Cu (0.915, 0.456, 0.234)
Sb (0.000, 0.000, 0.000)
Sb (0.500, 0.500, 0.500)
O (0.057, 0.852, 0.700)
O (0.148, 0.300, 0.943)
O (0.199, 0.590, 0.380)
O (0.300, 0.943, 0.148)
O (0.380, 0.199, 0.590)
O (0.410, 0.620, 0.801)
O (0.590, 0.380, 0.199)
O (0.620, 0.801, 0.410)
O (0.700, 0.057, 0.852)
O (0.801, 0.410, 0.620)
O (0.852, 0.700, 0.057)
O (0.943, 0.148, 0.300)

Total magnetic moment: 1.3 μB per formula unit
Formation energy (no corrections): -0.717 eV/atom
Space-group type: No. 148